# In2GaCoO | Alexandria | GGA+U | relaxed
# SG: P4/mmm (123)
# E: -3.846 eV per atom
# N(E_F): 0.466 states/eV/atom
# calculated density: 5.97 g/cm³
data_In2GaCoO
_cell_length_a 5.400
_cell_length_b 3.570
_cell_length_c 5.400
_cell_angle_alpha 90.00
_cell_angle_beta 90.00
_cell_angle_gamma 90.00
_symmetry_space_group_name_H-M 'P 1'
_symmetry_Int_Tables_number 1
_symmetry_space_group_name_Hall 'P 1'
loop_
_atom_site_label
_atom_site_type_symbol
_atom_site_fract_x
_atom_site_fract_y
_atom_site_fract_z
_atom_site_occupancy
Co1 Co 0.000 0.500 0.000 1
O1 O 0.000 0.000 0.000 1
Ga1 Ga 0.500 0.500 0.500 1
In1 In 0.000 0.000 0.500 1
In2 In 0.500 0.000 0.000 1